The following is a PBE calculation of a geometry-optimized CaWCl2 structure, from Alexandria.

The structure in extended XYZ format:
```
4
Lattice="3.154 0.000 0.000 0.000 3.154 0.000 0.000 0.000 8.990" Properties=species:S:1:pos:R:3 pbc="T T T"
Ca 0.000 0.000 0.000
W 1.577 1.577 6.491
Cl 0.000 0.000 5.176
Cl 1.577 1.577 1.604
```

DFT total energy: -20.1 eV for the cell shown
Volume: 89.4 Å³/cell
Excess energy over the best structure of this formula in the dataset: 0.36 eV per formula unit